Crystalline Ca2CdAg2 at its relaxed geometry. Source: Alexandria, functional PBE.

a = 5.8297 Å, b = 5.8297 Å, c = 8.2401 Å
α = 90.00°, β = 90.00°, γ = 90.00°
Last column: nearest neighbours and their distance in Å.
Element x y z (fractional)
1 Ca 0.0000 0.5000 0.2500  4 Ag 3.01
2 Ca 0.0000 0.5000 0.7500  4 Ag 3.01
3 Ca 0.5000 0.0000 0.2500  4 Ag 3.01
4 Ca 0.5000 0.0000 0.7500  4 Ag 3.01
5 Cd 0.0000 0.0000 0.0000  2 Ag 2.81
6 Cd 0.5000 0.5000 0.5000  2 Ag 2.81
7 Ag 0.0000 0.0000 0.3406  1 Ag 2.63, 1 Cd 2.81
8 Ag 0.0000 0.0000 0.6594  1 Ag 2.63, 1 Cd 2.81
9 Ag 0.5000 0.5000 0.1594  1 Ag 2.63, 1 Cd 2.81
10 Ag 0.5000 0.5000 0.8406  1 Ag 2.63, 1 Cd 2.81

## Properties
E_form = -0.162 eV per atom
Polymorph energy (0 for the lowest one) = 161 meV per atom
Space group = I4/mmm